Pr4Hg3 | PBE-GGA | relaxed

## Properties
V = 413.8 Å³ per cell
formation energy from the elements = -2.604 eV per formula unit
relative energy among the computed polymorphs = 0.000 eV/atom

Unit cell a=6.680 b=8.745 c=8.745 alpha=113.75 beta=104.75 gamma=104.75
Fractional positions:
Pr (0.075, 0.300, 0.448)
Hg (0.733, 0.868, 0.277)
Hg (0.545, 0.277, 0.409)
Pr (0.373, 0.448, 0.148)
Hg (0.865, 0.409, 0.132)
Pr (0.500, 0.000, 0.000)
Hg (0.135, 0.591, 0.868)
Pr (0.775, 0.148, 0.700)
Hg (0.455, 0.723, 0.591)
Pr (0.925, 0.700, 0.552)
Hg (0.267, 0.132, 0.723)
Pr (0.000, 0.000, 0.000)
Pr (0.225, 0.852, 0.300)
Pr (0.627, 0.552, 0.852)